(1)
{
  "formula": "Ta2InCl",
  "functional": "PBE-GGA",
  "state": "optimized geometry",
  "lattice": [[-2.482, -1.884, -0.445], [2.690, -0.138, -1.628], [3.532, -6.156, 6.361]],
  "species": ["Ta", "In", "Ta", "Cl"],
  "fractional_positions": [[0.000, 0.000, 0.483], [0.500, 0.500, 0.750], [0.000, 0.000, 0.017], [0.500, 0.500, 0.250]],
  "magmom_total_mub_per_fu": 0.000,
  "dos_at_fermi_per_ev_cell": 3.44,
  "e_form_raw_ev_per_atom": 0.29,
  "relative_energy_mev_per_atom": 422,
  "e_tot_ev_per_atom": -6.78,
  "crystal_system": "orthorhombic",
  "spacegroup": "Cmmm, No. 65",
  "vol_a3_per_fu": 77.3
}


(2)
{
  "formula": "La6SmDyHo2",
  "functional": "PBE-GGA",
  "state": "optimized geometry",
  "lattice": [[-7.105, 0.594, -5.496], [-0.541, -7.120, -0.070], [-2.030, 3.684, 5.249]],
  "species": ["La", "Ho", "La", "La", "Dy", "La", "La", "Sm", "Ho", "La"],
  "fractional_positions": [[0.567, 0.363, 0.727], [0.163, 0.087, 0.175], [0.433, 0.637, 0.273], [0.805, 0.961, 0.365], [0.000, 0.500, 0.000], [0.195, 0.039, 0.635], [0.805, 0.404, 0.365], [0.500, 0.000, 0.000], [0.837, 0.913, 0.825], [0.195, 0.596, 0.635]],
  "magmom_total_mub_per_fu": 0.000,
  "dos_at_fermi_per_ev_cell": 18.83,
  "e_tot_ev_per_atom": -4.61,
  "crystal_system": "monoclinic",
  "spacegroup": "C2/m, No. 12",
  "vol_a3_per_fu": 355.8,
  "formation_enthalpy_0k_mev_per_atom": 193.5
}


(3)
{
  "formula": "Ga4AgPd2",
  "functional": "PBE-GGA",
  "state": "optimized geometry",
  "lattice": [[4.815, 0.000, 0.000], [0.000, 4.815, 0.000], [2.407, 2.407, 6.387]],
  "species": ["Pd", "Ga", "Ag", "Ga", "Ga", "Ga", "Pd"],
  "fractional_positions": [[0.396, 0.396, 0.208], [0.500, 0.000, 0.000], [0.000, 0.000, 0.000], [0.795, 0.795, 0.411], [0.205, 0.205, 0.589], [0.000, 0.500, 0.000], [0.604, 0.604, 0.792]],
  "magmom_total_mub_per_fu": 0.000,
  "dos_at_fermi_per_ev_cell": 2.04,
  "e_tot_ev_per_atom": -3.53,
  "crystal_system": "tetragonal",
  "spacegroup": "I4/mmm, No. 139",
  "vol_a3_per_fu": 148.0,
  "formation_enthalpy_0k_mev_per_atom": 92.3
}